# 1
A plane-wave DFT calculation with PBE was carried out for crystalline Sc4Nb2Sn3N3 at its relaxed geometry.

**Total energy**: -381.70 eV for the cell shown
**Size of the total moment**: 0.0 μB/f.u.

Structure (CIF):
```
data_Sc4Nb2Sn3N3
_cell_length_a 9.791
_cell_length_b 5.684
_cell_length_c 14.514
_cell_angle_alpha 90.00
_cell_angle_beta 102.76
_cell_angle_gamma 90.00
_symmetry_space_group_name_H-M 'C 1 2/c 1'
_symmetry_Int_Tables_number 15
loop_
_symmetry_equiv_pos_as_xyz
'x,y,z'
'-x,-y,-z'
'-x,y,-z+1/2'
'x,-y,z+1/2'
'x+1/2,y+1/2,z'
'-x+1/2,-y+1/2,-z'
'-x+1/2,y+1/2,-z+1/2'
'x+1/2,-y+1/2,z+1/2'
loop_
_atom_site_label
_atom_site_type_symbol
_atom_site_fract_x
_atom_site_fract_y
_atom_site_fract_z
_atom_site_occupancy
Sc1 Sc 0.111 0.083 0.084 1
Sc2 Sc 0.222 0.084 0.416 1
Nb1 Nb 0.057 0.418 0.922 1
Sn1 Sn 0.000 0.097 0.750 1
Sn2 Sn 0.160 0.424 0.250 1
N1 N 0.085 0.244 0.500 1
N2 N 0.250 0.250 0.000 1
```

# 2
A plane-wave DFT calculation with PBE was carried out for crystalline Sc2Nb4Sn3N3 at its relaxed geometry.

**Total energy**: -400.05 eV for the cell shown
**Size of the total moment**: 0.0 μB/f.u.

Structure (CIF):
```
data_Sc2Nb4Sn3N3
_cell_length_a 9.910
_cell_length_b 5.775
_cell_length_c 13.978
_cell_angle_alpha 90.00
_cell_angle_beta 103.21
_cell_angle_gamma 90.00
_symmetry_space_group_name_H-M 'C 1 2/c 1'
_symmetry_Int_Tables_number 15
loop_
_symmetry_equiv_pos_as_xyz
'x,y,z'
'-x,-y,-z'
'-x,y,-z+1/2'
'x,-y,z+1/2'
'x+1/2,y+1/2,z'
'-x+1/2,-y+1/2,-z'
'-x+1/2,y+1/2,-z+1/2'
'x+1/2,-y+1/2,z+1/2'
loop_
_atom_site_label
_atom_site_type_symbol
_atom_site_fract_x
_atom_site_fract_y
_atom_site_fract_z
_atom_site_occupancy
Sc1 Sc 0.056 0.083 0.413 1
Nb1 Nb 0.110 0.426 0.576 1
Nb2 Nb 0.220 0.414 0.924 1
Sn1 Sn 0.000 0.435 0.250 1
Sn2 Sn 0.175 0.095 0.749 1
N1 N 0.077 0.233 0.000 1
N2 N 0.250 0.250 0.500 1
```

# 3
A plane-wave DFT calculation with PBE was carried out for crystalline Sc4Nb2Tl3N3 at its relaxed geometry.

**Total energy**: -356.02 eV for the cell shown
**Size of the total moment**: 0.0 μB/f.u.

Structure (CIF):
```
data_Sc4Nb2Tl3N3
_cell_length_a 9.819
_cell_length_b 5.704
_cell_length_c 14.773
_cell_angle_alpha 90.00
_cell_angle_beta 102.62
_cell_angle_gamma 90.00
_symmetry_space_group_name_H-M 'C 1 2/c 1'
_symmetry_Int_Tables_number 15
loop_
_symmetry_equiv_pos_as_xyz
'x,y,z'
'-x,-y,-z'
'-x,y,-z+1/2'
'x,-y,z+1/2'
'x+1/2,y+1/2,z'
'-x+1/2,-y+1/2,-z'
'-x+1/2,y+1/2,-z+1/2'
'x+1/2,-y+1/2,z+1/2'
loop_
_atom_site_label
_atom_site_type_symbol
_atom_site_fract_x
_atom_site_fract_y
_atom_site_fract_z
_atom_site_occupancy
Sc1 Sc 0.111 0.081 0.083 1
Sc2 Sc 0.221 0.085 0.417 1
Nb1 Nb 0.059 0.417 0.927 1
Tl1 Tl 0.000 0.097 0.750 1
Tl2 Tl 0.160 0.424 0.250 1
N1 N 0.085 0.244 0.500 1
N2 N 0.250 0.250 0.000 1
```

# 4
A plane-wave DFT calculation with PBE was carried out for crystalline Sc2Nb4Tl3N3 at its relaxed geometry.

**Total energy**: -373.82 eV for the cell shown
**Size of the total moment**: 0.0 μB/f.u.

Structure (CIF):
```
data_Sc2Nb4Tl3N3
_cell_length_a 9.898
_cell_length_b 5.765
_cell_length_c 14.367
_cell_angle_alpha 90.00
_cell_angle_beta 102.78
_cell_angle_gamma 90.00
_symmetry_space_group_name_H-M 'C 1 2/c 1'
_symmetry_Int_Tables_number 15
loop_
_symmetry_equiv_pos_as_xyz
'x,y,z'
'-x,-y,-z'
'-x,y,-z+1/2'
'x,-y,z+1/2'
'x+1/2,y+1/2,z'
'-x+1/2,-y+1/2,-z'
'-x+1/2,y+1/2,-z+1/2'
'x+1/2,-y+1/2,z+1/2'
loop_
_atom_site_label
_atom_site_type_symbol
_atom_site_fract_x
_atom_site_fract_y
_atom_site_fract_z
_atom_site_occupancy
Sc1 Sc 0.055 0.083 0.414 1
Nb1 Nb 0.109 0.425 0.572 1
Nb2 Nb 0.221 0.416 0.928 1
Tl1 Tl 0.000 0.435 0.250 1
Tl2 Tl 0.176 0.095 0.749 1
N1 N 0.078 0.234 0.000 1
N2 N 0.250 0.250 0.500 1
```

# 5
A plane-wave DFT calculation with PBE was carried out for crystalline Nb2SiN at its relaxed geometry.

**Total energy**: -439.42 eV for the cell shown
**Size of the total moment**: 0.0 μB/f.u.

Structure (CIF):
```
data_Nb2SiN
_cell_length_a 9.693
_cell_length_b 5.591
_cell_length_c 12.701
_cell_angle_alpha 90.00
_cell_angle_beta 104.79
_cell_angle_gamma 90.00
_symmetry_space_group_name_H-M 'C 1 2/c 1'
_symmetry_Int_Tables_number 15
loop_
_symmetry_equiv_pos_as_xyz
'x,y,z'
'-x,-y,-z'
'-x,y,-z+1/2'
'x,-y,z+1/2'
'x+1/2,y+1/2,z'
'-x+1/2,-y+1/2,-z'
'-x+1/2,y+1/2,-z+1/2'
'x+1/2,-y+1/2,z+1/2'
loop_
_atom_site_label
_atom_site_type_symbol
_atom_site_fract_x
_atom_site_fract_y
_atom_site_fract_z
_atom_site_occupancy
Nb1 Nb 0.052 0.083 0.405 1
Nb2 Nb 0.115 0.417 0.595 1
Nb3 Nb 0.218 0.417 0.905 1
Si1 Si 0.000 0.415 0.250 1
Si2 Si 0.166 0.082 0.750 1
N1 N 0.084 0.250 0.000 1
N2 N 0.250 0.250 0.500 1
```

# 6
A plane-wave DFT calculation with PBE was carried out for crystalline Nb2SiN at its relaxed geometry.

**Total energy**: -73.23 eV for the cell shown
**Size of the total moment**: 0.0 μB/f.u.

Structure (CIF):
```
data_Nb2SiN
_cell_length_a 3.2313
_cell_length_b 3.2313
_cell_length_c 12.2701
_cell_angle_alpha 90.00
_cell_angle_beta 90.00
_cell_angle_gamma 120.00
_symmetry_space_group_name_H-M 'P 63/m m c'
_symmetry_Int_Tables_number 194
_symmetry_space_group_name_Hall '-P 6c 2c'
loop_
_atom_site_label
_atom_site_type_symbol
_atom_site_fract_x
_atom_site_fract_y
_atom_site_fract_z
_atom_site_occupancy
Nb1 Nb 0.3333 0.6667 0.0950 1
Si1 Si 0.3333 0.6667 0.7500 1
N1 N 0.0000 0.0000 0.0000 1
```

Copy entry 6 word for word.
A plane-wave DFT calculation with PBE was carried out for crystalline Nb2SiN at its relaxed geometry.

**Total energy**: -73.23 eV for the cell shown
**Size of the total moment**: 0.0 μB/f.u.

Structure (CIF):
```
data_Nb2SiN
_cell_length_a 3.2313
_cell_length_b 3.2313
_cell_length_c 12.2701
_cell_angle_alpha 90.00
_cell_angle_beta 90.00
_cell_angle_gamma 120.00
_symmetry_space_group_name_H-M 'P 63/m m c'
_symmetry_Int_Tables_number 194
_symmetry_space_group_name_Hall '-P 6c 2c'
loop_
_atom_site_label
_atom_site_type_symbol
_atom_site_fract_x
_atom_site_fract_y
_atom_site_fract_z
_atom_site_occupancy
Nb1 Nb 0.3333 0.6667 0.0950 1
Si1 Si 0.3333 0.6667 0.7500 1
N1 N 0.0000 0.0000 0.0000 1
```

Question: size of the total moment of number 3 (Sc4Nb2Tl3N3)?
Answer: 0.0 μB/f.u.